No. 1
VASP calculation (PBE-GGA) on a relaxed Tc3SnAu crystal.

## Properties
For the energy above the most stable polymorph in this dataset, the calculation gives 0.0 meV/atom. The calculation puts the formation energy from the elements at 192.3 kJ/mol of atoms. Its space-group type is No. 221.

abc: 4.9144 4.9144 4.9144
angles: 90.00 90.00 90.00
Last column: nearest neighbours and their distance in Å.
Atoms (fractional coordinates):
Au  0.0000  0.0000  0.0000  6 Tc 2.46
Sn  0.5000  0.5000  0.5000  12 Tc 3.48
Tc  0.0000  0.5000  0.0000  2 Au 2.46
Tc  0.0000  0.0000  0.5000  2 Au 2.46
Tc  0.5000  0.0000  0.0000  2 Au 2.46

No. 2
VASP calculation (PBE-GGA) on a relaxed RbAgSe2 crystal.

## Properties
Its uncorrected formation energy is 0.013 eV per atom. Its space-group type is No. 225.

abc: 5.2922 5.2922 5.2922
angles: 60.00 60.00 60.00
Last column: nearest neighbours and their distance in Å.
Atoms (fractional coordinates):
Se  0.2500  0.2500  0.2500  4 Rb 3.24, 4 Ag 3.24
Se  0.7500  0.7500  0.7500  4 Rb 3.24, 4 Ag 3.24
Rb  0.0000  0.0000  0.0000  8 Se 3.24
Ag  0.5000  0.5000  0.5000  8 Se 3.24

no.,calculated total energy (eV per cell)
1,-28.42
2,-10.74